# 1
Computed, not measured: Li2ReW at its PBEsol-relaxed geometry at the meta-GGA SCAN level of DFT.

Formation energy from the elements (eV/atom): 0.462
Energy above the lowest structure with this stoichiometry (meV per atom): 232
Crystal system: orthorhombic

Unit cell a=5.021 b=9.170 c=2.525 alpha=90.00 beta=90.00 gamma=90.00
Space group Cmmm (No. 65)
Symmetry-distinct sites (fractional):
Li (0.250, 0.250, 0.000) (multiplicity 4)
Re (0.000, 0.000, 0.500) (multiplicity 2)
W (0.000, 0.500, 0.500) (multiplicity 2)

# 2
Computed, not measured: CeRh at its PBEsol-relaxed geometry at the meta-GGA SCAN level of DFT.

Formation energy from the elements (eV/atom): -0.841
Crystal system: orthorhombic

Unit cell a=3.800 b=11.089 c=3.925 alpha=90.00 beta=90.00 gamma=90.00
Space group Cmcm (No. 63)
Symmetry-distinct sites (fractional):
Ce (0.000, 0.137, 0.250) (multiplicity 4)
Rh (0.000, 0.403, 0.250) (multiplicity 4)